1.
Below is a relaxed structure of Rb4ErTh3Se8, with properties calculated at the GGA-PBE level.

Unit cell a=8.5052 b=8.5052 c=24.4196 alpha=90.00 beta=90.00 gamma=120.00
Space group R-3m (No. 166, hexagonal axes)
One atom of each set of equivalent atoms:
Rb 0.0000 0.0000 0.0000 x3
Rb 0.0000 0.5000 0.0000 x9
Er 0.0000 0.0000 0.5000 x3
Th 0.0000 0.5000 0.5000 x9
Se 0.0000 0.0000 0.2366 x6
Se 0.0078 0.5039 0.2341 x18

As for the uncorrected formation energy: -25.0 eV per formula unit. Its density of states at the Fermi level is 31.57 states/eV per cell.


2.
Below is a relaxed structure of Sc2MoBr, with properties calculated at the GGA-PBE level.

Unit cell a=7.3405 b=7.3405 c=6.3189 alpha=90.00 beta=90.00 gamma=90.00
Space group I-42d (No. 122)
One atom of each set of equivalent atoms:
Sc 0.2420 0.2500 0.1250 x8
Mo 0.0000 0.0000 0.5000 x4
Br 0.0000 0.0000 0.0000 x4

For the energy above the lowest structure with this stoichiometry, the calculation gives 3.00 eV per formula unit. As for the uncorrected formation energy: 1.5 eV per formula unit. Its density of states at the Fermi level is 22.90 states/eV per cell.


3.
Below is a relaxed structure of Cd4InAg7, with properties calculated at the GGA-PBE level.

Unit cell a=10.5775 b=5.1606 c=10.6385 alpha=90.00 beta=119.31 gamma=90.00
Space group C2/m (No. 12)
One atom of each set of equivalent atoms:
Cd 0.0956 0.0000 0.2703 x4
Cd 0.2336 0.0000 0.8138 x4
In 0.0000 0.5000 0.5000 x2
Ag 0.0000 0.0000 0.5000 x2
Ag 0.0427 0.5000 0.8752 x4
Ag 0.1491 0.0000 0.0291 x4
Ag 0.2075 0.5000 0.4171 x4

For the energy above the lowest structure with this stoichiometry, the calculation gives 1.32 eV per formula unit. For the energy of formation from the pure elements, the calculation gives 6.9 kJ/mol of atoms. Its density of states at the Fermi level is 6.22 states/eV per cell.


4.
Below is a relaxed structure of CsYNiCl6, with properties calculated at the GGA-PBE level.

Unit cell a=6.6496 b=6.6496 c=7.8317 alpha=90.00 beta=90.00 gamma=120.00
Space group P312 (No. 149)
One atom of each set of equivalent atoms:
Cs 0.0000 0.0000 0.0000 x1
Y 0.6667 0.3333 0.5000 x1
Ni 0.3333 0.6667 0.5000 x1
Cl 0.0250 0.3856 0.6844 x6

As for the uncorrected formation energy: -15.0 eV per formula unit.


5.
Below is a relaxed structure of Nd8Ru2Pt, with properties calculated at the GGA-PBE level.

Unit cell a=18.0080 b=5.1050 c=6.9559 alpha=90.00 beta=104.81 gamma=90.00
Space group C2/m (No. 12)
One atom of each set of equivalent atoms:
Nd 0.0362 0.0000 0.2844 x4
Nd 0.0935 0.5000 0.9506 x4
Nd 0.1707 0.5000 0.4704 x4
Nd 0.2029 0.0000 0.8216 x4
Ru 0.1899 0.0000 0.2134 x4
Pt 0.0000 0.5000 0.5000 x2

For the energy above the lowest structure with this stoichiometry, the calculation gives 0.00 eV per formula unit. For the energy of formation from the pure elements, the calculation gives -27.3 kJ/mol of atoms. Its density of states at the Fermi level is 24.79 states/eV per cell.


6.
Below is a relaxed structure of Ho12Ru3C5, with properties calculated at the GGA-PBE level.

Unit cell a=15.2630 b=15.2630 c=15.2630 alpha=90.00 beta=90.00 gamma=90.00
Space group Ia-3d (No. 230)
One atom of each set of equivalent atoms:
Ho 0.0263 0.0554 0.6526 x96
Ru 0.0000 0.2500 0.1250 x24
C 0.0000 0.0000 0.0000 x16
C 0.0000 0.2500 0.3750 x24

For the energy of formation from the pure elements, the calculation gives -14.8 kJ/mol of atoms. Its density of states at the Fermi level is 63.21 states/eV per cell.


7.
Below is a relaxed structure of Zn12NiAu6, with properties calculated at the GGA-PBE level.

Unit cell a=10.1345 b=10.1345 c=10.5567 alpha=90.00 beta=90.00 gamma=120.00
Space group R-3 (No. 148, hexagonal axes)
One atom of each set of equivalent atoms:
Zn 0.0902 0.1813 0.3161 x18
Zn 0.0991 0.1977 0.8911 x18
Ni 0.0000 0.0000 0.5000 x3
Au 0.0186 0.5087 0.2244 x18

For the energy of formation from the pure elements, the calculation gives -11.8 kJ/mol of atoms. Its density of states at the Fermi level is 12.43 states/eV per cell.


8.
Below is a relaxed structure of RbBiPbI6, with properties calculated at the GGA-PBE level.

Unit cell a=8.2143 b=8.2143 c=16.1505 alpha=90.00 beta=90.00 gamma=120.00
Space group P-31c (No. 163)
One atom of each set of equivalent atoms:
Rb 0.0000 0.0000 0.0000 x2
Bi 0.3333 0.6667 0.2500 x2
Pb 0.3333 0.6667 0.7500 x2
I 0.0133 0.3784 0.1353 x12

As for the uncorrected formation energy: -6.8 eV per formula unit. Its density of states at the Fermi level is 0.00 states/eV per cell.


9.
Below is a relaxed structure of AlOs2Au, with properties calculated at the GGA-PBE level.

Unit cell a=3.8490 b=3.8490 c=18.8609 alpha=90.00 beta=90.00 gamma=90.00
Space group I-42d (No. 122)
One atom of each set of equivalent atoms:
Al 0.0000 0.0000 0.0000 x4
Os 0.1776 0.2500 0.1250 x8
Au 0.0000 0.0000 0.5000 x4

For the energy of formation from the pure elements, the calculation gives 53.9 kJ/mol of atoms. Its density of states at the Fermi level is 11.76 states/eV per cell.


10.
Below is a relaxed structure of LiCdSb2, with properties calculated at the GGA-PBE level.

Unit cell a=12.6903 b=3.6422 c=4.6919 alpha=90.00 beta=111.63 gamma=90.00
Space group Cm (No. 8)
One atom of each set of equivalent atoms:
Li 0.0000 0.0000 0.0000 x2
Cd 0.2773 0.0000 0.6119 x2
Sb 0.1942 0.5000 0.9856 x2
Sb 0.4780 0.0000 0.4642 x2

As for the uncorrected formation energy: -0.6 eV per formula unit. Its density of states at the Fermi level is 1.55 states/eV per cell.


11.
Below is a relaxed structure of LiVFe2, with properties calculated at the GGA-PBE level.

Unit cell a=6.3452 b=6.3452 c=5.0492 alpha=90.00 beta=90.00 gamma=90.00
Space group I-42d (No. 122)
One atom of each set of equivalent atoms:
Li 0.0000 0.0000 0.0000 x4
V 0.0000 0.0000 0.5000 x4
Fe 0.2397 0.2500 0.6250 x8

For the energy of formation from the pure elements, the calculation gives 48.4 kJ/mol of atoms. Its density of states at the Fermi level is 11.26 states/eV per cell.


12.
Below is a relaxed structure of Ba3Sb4Pb, with properties calculated at the GGA-PBE level.

Unit cell a=5.0573 b=7.1779 c=18.3833 alpha=90.00 beta=90.00 gamma=90.00
Space group Immm (No. 71)
One atom of each set of equivalent atoms:
Ba 0.0000 0.0000 0.0000 x2
Ba 0.0000 0.5000 0.1932 x4
Sb 0.0000 0.3017 0.3733 x8
Pb 0.0000 0.0000 0.5000 x2

As for the uncorrected formation energy: -5.7 eV per formula unit. Its density of states at the Fermi level is 7.95 states/eV per cell.


13.
Below is a relaxed structure of AcPuInCu, with properties calculated at the GGA-PBE level.

Unit cell a=7.6873 b=7.6873 c=7.6873 alpha=90.00 beta=90.00 gamma=90.00
Space group F-43m (No. 216)
One atom of each set of equivalent atoms:
Ac 0.0000 0.0000 0.0000 x4
Pu 0.0000 0.0000 0.5000 x4
In 0.2500 0.2500 0.2500 x4
Cu 0.2500 0.2500 0.7500 x4

For the energy of formation from the pure elements, the calculation gives -0.5 kJ/mol of atoms. Its density of states at the Fermi level is 52.47 states/eV per cell.


14.
Below is a relaxed structure of TaV2FeW, with properties calculated at the GGA-PBE level.

Unit cell a=4.1701 b=4.1701 c=4.6957 alpha=90.00 beta=90.00 gamma=90.00
Space group P4/mmm (No. 123)
One atom of each set of equivalent atoms:
Ta 0.0000 0.0000 0.0000 x1
V 0.0000 0.5000 0.5000 x2
Fe 0.0000 0.0000 0.5000 x1
W 0.5000 0.5000 0.0000 x1

For the energy above the lowest structure with this stoichiometry, the calculation gives 0.00 eV per formula unit. For the energy of formation from the pure elements, the calculation gives 86.0 kJ/mol of atoms. Its density of states at the Fermi level is 6.22 states/eV per cell.